# NdV2H8, optimized geometry, DFT PBE
# size of the total moment = 0.00 μB/cell
# total DFT energy (no corrections) = -4.771 eV per atom
data_NdV2H8
_cell_length_a 4.530
_cell_length_b 4.530
_cell_length_c 4.828
_cell_angle_alpha 90.02
_cell_angle_beta 90.02
_cell_angle_gamma 119.96
_space_group_name_H-M_alt 'P 1'
_space_group_IT_number 1
loop_
_space_group_symop_operation_xyz
'x,y,z'
loop_
_atom_site_label
_atom_site_type_symbol
_atom_site_fract_x
_atom_site_fract_y
_atom_site_fract_z
_atom_site_occupancy
Nd1 Nd 0.000 0.000 0.000 1
V1 V 0.332 0.666 0.484 1
V2 V 0.666 0.332 0.484 1
H1 H 0.254 0.999 0.406 1
H2 H 0.330 0.665 0.123 1
H3 H 0.454 0.454 0.732 1
H4 H 0.545 0.999 0.732 1
H5 H 0.665 0.330 0.123 1
H6 H 0.743 0.743 0.404 1
H7 H 0.999 0.254 0.406 1
H8 H 0.999 0.545 0.732 1

# NdVH, optimized geometry, DFT PBE
# size of the total moment = 0.00 μB/cell
# total DFT energy (no corrections) = -5.528 eV per atom
data_NdVH
_cell_length_a 11.687
_cell_length_b 3.215
_cell_length_c 7.837
_cell_angle_alpha 90.00
_cell_angle_beta 90.00
_cell_angle_gamma 90.00
_space_group_name_H-M_alt 'P 1'
_space_group_IT_number 1
loop_
_space_group_symop_operation_xyz
'x,y,z'
loop_
_atom_site_label
_atom_site_type_symbol
_atom_site_fract_x
_atom_site_fract_y
_atom_site_fract_z
_atom_site_occupancy
Nd1 Nd 0.033 0.000 0.219 1
Nd2 Nd 0.250 0.000 0.890 1
Nd3 Nd 0.467 0.000 0.219 1
Nd4 Nd 0.533 0.000 0.781 1
Nd5 Nd 0.750 0.000 0.110 1
Nd6 Nd 0.967 0.000 0.781 1
V1 V 0.134 0.500 0.546 1
V2 V 0.250 0.500 0.338 1
V3 V 0.366 0.500 0.546 1
V4 V 0.634 0.500 0.454 1
V5 V 0.750 0.500 0.662 1
V6 V 0.866 0.500 0.454 1
H1 H 0.100 0.500 0.969 1
H2 H 0.250 0.000 0.583 1
H3 H 0.400 0.500 0.969 1
H4 H 0.600 0.500 0.031 1
H5 H 0.750 0.000 0.417 1
H6 H 0.900 0.500 0.031 1

# Nd3Y5H12, optimized geometry, DFT PBE
# size of the total moment = 0.10 μB/cell
# total DFT energy (no corrections) = -4.817 eV per atom
data_Nd3Y5H12
_cell_length_a 11.539
_cell_length_b 11.539
_cell_length_c 11.539
_cell_angle_alpha 109.47
_cell_angle_beta 109.47
_cell_angle_gamma 109.47
_space_group_name_H-M_alt 'P 1'
_space_group_IT_number 1
loop_
_space_group_symop_operation_xyz
'x,y,z'
loop_
_atom_site_label
_atom_site_type_symbol
_atom_site_fract_x
_atom_site_fract_y
_atom_site_fract_z
_atom_site_occupancy
Nd1 Nd 0.125 0.250 0.375 1
Nd2 Nd 0.125 0.375 0.750 1
Nd3 Nd 0.250 0.375 0.125 1
Nd4 Nd 0.250 0.875 0.625 1
Nd5 Nd 0.375 0.125 0.250 1
Nd6 Nd 0.375 0.750 0.125 1
Nd7 Nd 0.625 0.250 0.875 1
Nd8 Nd 0.625 0.875 0.750 1
Nd9 Nd 0.750 0.125 0.375 1
Nd10 Nd 0.750 0.625 0.875 1
Nd11 Nd 0.875 0.625 0.250 1
Nd12 Nd 0.875 0.750 0.625 1
Y1 Y 0.000 0.000 0.000 1
Y2 Y 0.000 0.000 0.500 1
Y3 Y 0.000 0.500 0.000 1
Y4 Y 0.000 0.500 0.500 1
Y5 Y 0.125 0.750 0.875 1
Y6 Y 0.125 0.875 0.250 1
Y7 Y 0.250 0.125 0.875 1
Y8 Y 0.250 0.625 0.375 1
Y9 Y 0.375 0.250 0.625 1
Y10 Y 0.375 0.625 0.750 1
Y11 Y 0.500 0.000 0.000 1
Y12 Y 0.500 0.000 0.500 1
Y13 Y 0.500 0.500 0.000 1
Y14 Y 0.500 0.500 0.500 1
Y15 Y 0.625 0.375 0.250 1
Y16 Y 0.625 0.750 0.375 1
Y17 Y 0.750 0.375 0.625 1
Y18 Y 0.750 0.875 0.125 1
Y19 Y 0.875 0.125 0.750 1
Y20 Y 0.875 0.250 0.125 1
H1 H 0.059 0.220 0.146 1
H2 H 0.059 0.339 0.914 1
H3 H 0.074 0.720 0.661 1
H4 H 0.074 0.854 0.414 1
H5 H 0.086 0.646 0.426 1
H6 H 0.086 0.941 0.661 1
H7 H 0.146 0.059 0.220 1
H8 H 0.146 0.586 0.926 1
H9 H 0.161 0.220 0.574 1
H10 H 0.161 0.441 0.586 1
H11 H 0.220 0.146 0.059 1
H12 H 0.220 0.574 0.161 1
H13 H 0.280 0.339 0.926 1
H14 H 0.280 0.441 0.354 1
H15 H 0.339 0.914 0.059 1
H16 H 0.339 0.926 0.280 1
H17 H 0.354 0.280 0.441 1
H18 H 0.354 0.574 0.914 1
H19 H 0.414 0.074 0.854 1
H20 H 0.414 0.839 0.559 1
H21 H 0.426 0.086 0.646 1
H22 H 0.426 0.839 0.780 1
H23 H 0.441 0.354 0.280 1
H24 H 0.441 0.586 0.161 1
H25 H 0.559 0.414 0.839 1
H26 H 0.559 0.646 0.720 1
H27 H 0.574 0.161 0.220 1
H28 H 0.574 0.914 0.354 1
H29 H 0.586 0.161 0.441 1
H30 H 0.586 0.926 0.146 1
H31 H 0.646 0.426 0.086 1
H32 H 0.646 0.720 0.559 1
H33 H 0.661 0.074 0.720 1
H34 H 0.661 0.086 0.941 1
H35 H 0.720 0.559 0.646 1
H36 H 0.720 0.661 0.074 1
H37 H 0.780 0.426 0.839 1
H38 H 0.780 0.854 0.941 1
H39 H 0.839 0.559 0.414 1
H40 H 0.839 0.780 0.426 1
H41 H 0.854 0.414 0.074 1
H42 H 0.854 0.941 0.780 1
H43 H 0.914 0.059 0.339 1
H44 H 0.914 0.354 0.574 1
H45 H 0.926 0.146 0.586 1
H46 H 0.926 0.280 0.339 1
H47 H 0.941 0.661 0.086 1
H48 H 0.941 0.780 0.854 1

# NdYH, optimized geometry, DFT PBE
# size of the total moment = 0.00 μB/cell
# total DFT energy (no corrections) = -4.987 eV per atom
data_NdYH
_cell_length_a 6.591
_cell_length_b 6.591
_cell_length_c 6.591
_cell_angle_alpha 149.65
_cell_angle_beta 149.65
_cell_angle_gamma 43.46
_space_group_name_H-M_alt 'P 1'
_space_group_IT_number 1
loop_
_space_group_symop_operation_xyz
'x,y,z'
loop_
_atom_site_label
_atom_site_type_symbol
_atom_site_fract_x
_atom_site_fract_y
_atom_site_fract_z
_atom_site_occupancy
Nd1 Nd 0.000 0.000 0.000 1
Y1 Y 0.289 0.289 0.000 1
H1 H 0.471 0.471 0.000 1